Entry 1:
Density functional theory data (PBE) for NaSm3Tl5 after structural relaxation.

Values from the calculation:
As for the space group: P6_3/mcm, No. 193. The magnetization is 0.0 μB/f.u. Its calculated formation energy is -0.2575 eV per atom.

Cell and atoms, written as POSCAR:
```
NaSm3Tl5
1.0
6.5498 0.0000 0.0000
0.0000 9.4669 0.0000
0.0000 -4.7334 8.1978
Sm Tl Na
6 10 2
Direct
0.7500 0.6369 0.0000
0.7500 0.3631 0.3630
0.7500 0.0001 0.6370
0.2500 0.6369 0.6370
0.2500 0.9999 0.3630
0.2500 0.3631 0.0000
0.7500 0.3011 0.0000
0.7500 0.0001 0.3012
0.2500 0.3011 0.3012
0.5000 0.3333 0.6666
0.0000 0.6667 0.3334
0.2500 0.9999 0.6988
0.2500 0.6989 0.0000
0.7500 0.6989 0.6988
0.0000 0.3333 0.6666
0.5000 0.6667 0.3334
0.0000 0.0000 0.0000
0.5000 0.0000 0.0000
```

Entry 2:
Density functional theory data (PBE) for DyY6Tl2 after structural relaxation.

Values from the calculation:
As for the space group: C2/m, No. 12. The magnetization is 0.0 μB/f.u. Its calculated formation energy is -0.1667 eV per atom.

Cell and atoms, written as POSCAR:
```
DyY6Tl2
1.0
3.7081 0.0000 0.5887
1.6208 6.2209 1.7637
0.0100 -0.0250 11.9092
Y Tl Dy
6 2 1
Direct
0.0160 0.3125 0.6556
0.3152 0.4934 0.8761
0.3086 0.7958 0.5870
0.6848 0.5066 0.1239
0.6914 0.2042 0.4130
0.9840 0.6875 0.3444
0.3604 0.0757 0.2035
0.6396 0.9243 0.7965
0.0000 0.0000 0.0000
```

Entry 3:
Density functional theory data (PBE) for Sc3Re4 after structural relaxation.

Values from the calculation:
As for the space group: P6/mmm, No. 191. The magnetization is 0.0 μB/f.u. Its calculated formation energy is 0.5274 eV per atom.

Cell and atoms, written as POSCAR:
```
Sc3Re4
1.0
-4.0894 2.8799 -1.5212
-0.2124 -2.6776 4.4851
1.8649 3.9359 2.4381
Sc Re
3 4
Direct
0.5000 0.5000 0.0000
0.0000 0.5000 0.0000
0.5000 0.0000 0.0000
0.3333 0.6667 0.5000
0.0000 0.0000 0.7429
0.0000 0.0000 0.2571
0.6667 0.3333 0.5000
```

Entry 4:
Density functional theory data (PBE) for Re2SiP after structural relaxation.

Values from the calculation:
As for the space group: P4/mmm, No. 123. The magnetization is 0.0 μB/f.u. The calculation puts the formation energy without anion corrections at -0.1499 eV per atom.

Cell and atoms, written as POSCAR:
```
Re2SiP
1.0
2.9704 0.0000 0.0000
0.0000 2.9704 0.0000
0.0000 0.0000 5.9709
Si P Re
1 1 2
Direct
0.5000 0.5000 0.2500
0.5000 0.5000 0.7500
0.0000 0.0000 0.9960
0.0000 0.0000 0.5040
```

Entry 5:
Density functional theory data (PBE) for Mn2VRhC after structural relaxation.

Values from the calculation:
As for the space group: P4/mmm, No. 123. The magnetization is 1.9 μB/f.u. Its calculated formation energy is -0.1173 eV per atom.

Cell and atoms, written as POSCAR:
```
Mn2VRhC
1.0
3.7904 0.0000 0.0000
0.0000 3.7904 0.0000
0.0000 0.0000 3.9718
V C Rh Mn
1 1 1 2
Direct
0.0000 0.0000 0.5000
0.0000 0.0000 0.0000
0.5000 0.5000 0.5000
0.5000 0.0000 0.0000
0.0000 0.5000 0.0000
```

Entry 6:
Density functional theory data (PBE) for Li5Ni2Ge4 after structural relaxation.

Values from the calculation:
As for the space group: P2/m, No. 10. The magnetization is 0.0 μB/f.u. Its calculated formation energy is -0.3250 eV per atom.

Cell and atoms, written as POSCAR:
```
Li5Ni2Ge4
1.0
-0.9776 -1.6256 -2.1258
-1.3196 -5.0848 4.4952
-7.7011 3.4172 0.9286
Ni Li Ge
2 5 4
Direct
0.0000 0.9150 0.3619
0.0000 0.0850 0.6381
0.0000 0.8661 0.8741
0.0000 0.1339 0.1259
0.0000 0.5000 0.0000
0.0000 0.4660 0.6604
0.0000 0.5340 0.3396
0.5000 0.2060 0.4235
0.5000 0.2158 0.8537
0.5000 0.7842 0.1463
0.5000 0.7940 0.5765
```